First-principles (PBE with a Hubbard U) data for a geometry-optimized Mn2VFeO4 structure, as listed in the Alexandria database.

Geometry as CIF:
```
data_Mn2VFeO4
_chemical_formula_sum 'Mn2 V1 Fe1 O4'
_cell_length_a 5.835
_cell_length_b 5.832
_cell_length_c 4.821
_cell_angle_alpha 65.63
_cell_angle_beta 65.55
_cell_angle_gamma 48.82
_symmetry_space_group_name_H-M 'P 1'
_symmetry_Int_Tables_number 1
_symmetry_space_group_name_Hall 'P 1'
loop_
_atom_site_label
_atom_site_type_symbol
_atom_site_fract_x
_atom_site_fract_y
_atom_site_fract_z
Mn1 Mn 0.000 0.000 0.500
Mn2 Mn 0.500 0.500 0.000
V1 V 0.246 0.246 0.754
Fe1 Fe 0.756 0.756 0.244
O1 O 0.129 0.605 0.871
O2 O 0.371 0.891 0.109
O3 O 0.605 0.129 0.395
O4 O 0.891 0.371 0.629
```

Summary:
Electronic total energy   -58.871 eV for the cell shown
N(E_F)   2.3 states/eV/f.u.
Mass density   4.24 g/cm3
Total magnetization   15.540 μB/cell